Entry 1:
Crystalline CuC2 at its relaxed geometry, computed with PBE.

Computed properties:
Spin magnetization = 0.00 μB/cell
Energy of formation = 2.669 eV per atom
Raw total energy = -4.8454 eV/atom

Unit cell a=4.4968 b=4.4968 c=3.0717 alpha=90.00 beta=90.00 gamma=90.00
With the nearest neighbours (Å) after each atom.
Positions (direct):
Cu 0.0000 0.0000 0.0000  6 C 1.91-1.99
Cu 0.5000 0.5000 0.5000  6 C 1.91-1.99
C 0.1997 0.1997 0.5000  3 Cu 1.91-1.99
C 0.3003 0.6997 0.0000  3 Cu 1.91-1.99
C 0.6997 0.3003 0.0000  3 Cu 1.91-1.99
C 0.8003 0.8003 0.5000  3 Cu 1.91-1.99



Entry 2:
Crystalline Cu5C4 at its relaxed geometry, computed with PBE.

Computed properties:
Spin magnetization = 0.00 μB/cell
Energy of formation = 1.042 eV per atom
Raw total energy = -5.3331 eV/atom

Unit cell a=5.5759 b=5.5759 c=5.5759 alpha=113.28 beta=113.28 gamma=102.09
With the nearest neighbours (Å) after each atom.
Positions (direct):
Cu 0.0000 0.0000 0.0000  4 C 2.42, 4 Cu 2.59
Cu 0.2987 0.2987 0.5974  2 C 1.92
Cu 0.2987 0.7013 0.0000  2 C 1.92
Cu 0.7013 0.2987 0.0000  2 C 1.92
Cu 0.7013 0.7013 0.4026  2 C 1.92
C 0.0000 0.3947 0.3947  1 C 1.29
C 0.0000 0.6053 0.6053  1 C 1.29
C 0.3947 0.0000 0.3947  1 C 1.29
C 0.6053 0.0000 0.6053  1 C 1.29



Entry 3:
Crystalline Cu2C at its relaxed geometry, computed with PBE.

Computed properties:
Spin magnetization = 0.00 μB/cell
Energy of formation = 0.917 eV per atom
Raw total energy = -4.8888 eV/atom

Unit cell a=4.9993 b=4.9993 c=4.9993 alpha=90.00 beta=90.00 gamma=90.00
With the nearest neighbours (Å) after each atom.
Positions (direct):
Cu 0.1973 0.1973 0.1973  3 C 2.06
Cu 0.1973 0.3027 0.6973  3 C 2.06
Cu 0.3027 0.6973 0.1973  3 C 2.06
Cu 0.3027 0.8027 0.6973  3 C 2.06
Cu 0.6973 0.1973 0.3027  3 C 2.06
Cu 0.6973 0.3027 0.8027  3 C 2.06
Cu 0.8027 0.6973 0.3027  3 C 2.06
Cu 0.8027 0.8027 0.8027  3 C 2.06
C 0.0000 0.0000 0.5000  6 Cu 2.06
C 0.0000 0.5000 0.0000  6 Cu 2.06
C 0.5000 0.0000 0.0000  6 Cu 2.06
C 0.5000 0.5000 0.5000  6 Cu 2.06



Entry 4:
Crystalline Cu2C at its relaxed geometry, computed with PBE.

Computed properties:
Spin magnetization = 0.00 μB/cell
Energy of formation = 1.066 eV per atom
Raw total energy = -4.7395 eV/atom

Unit cell a=5.8250 b=5.8250 c=3.8992 alpha=90.00 beta=90.00 gamma=149.21
With the nearest neighbours (Å) after each atom.
Positions (direct):
Cu 0.0665 0.9335 0.7500  2 C 1.94
Cu 0.3166 0.6834 0.7500  2 C 1.95
Cu 0.6834 0.3166 0.2500  2 C 1.95
Cu 0.9335 0.0665 0.2500  2 C 1.94
C 0.3295 0.6705 0.2500  4 Cu 1.94-1.95
C 0.6705 0.3295 0.7500  4 Cu 1.94-1.95



Entry 5:
Crystalline Cu3C4 at its relaxed geometry, computed with PBE.

Computed properties:
Spin magnetization = 0.00 μB/cell
Energy of formation = 2.234 eV per atom
Raw total energy = -4.7928 eV/atom

Unit cell a=4.1166 b=4.1166 c=4.1166 alpha=90.00 beta=90.00 gamma=90.00
With the nearest neighbours (Å) after each atom.
Positions (direct):
Cu 0.0000 0.0000 0.5000  6 C 2.06
Cu 0.0000 0.5000 0.0000  6 C 2.06
Cu 0.5000 0.0000 0.0000  6 C 2.06
C 0.0000 0.0000 0.0000  6 Cu 2.06
C 0.0000 0.5000 0.5000  4 Cu 2.06
C 0.5000 0.0000 0.5000  4 Cu 2.06
C 0.5000 0.5000 0.0000  4 Cu 2.06



Entry 6:
Crystalline CuC2 at its relaxed geometry, computed with PBE.

Computed properties:
Spin magnetization = 0.00 μB/cell
Energy of formation = 1.424 eV per atom
Raw total energy = -6.0902 eV/atom

Unit cell a=3.1872 b=3.1872 c=11.4724 alpha=90.00 beta=90.00 gamma=120.00
With the nearest neighbours (Å) after each atom.
Positions (direct):
Cu 0.0000 0.0000 0.0000  6 C 2.09
Cu 0.3333 0.6667 0.3621  4 C 1.88-2.06
Cu 0.6667 0.3333 0.6379  4 C 1.88-2.06
C 0.0000 0.0000 0.4430  1 C 1.31
C 0.0000 0.0000 0.5570  1 C 1.31
C 0.3333 0.6667 0.0873  1 C 1.28
C 0.3333 0.6667 0.1986  1 C 1.28
C 0.6667 0.3333 0.8014  1 C 1.28
C 0.6667 0.3333 0.9127  1 C 1.28



Entry 7:
Crystalline CuC2 at its relaxed geometry, computed with PBE.

Computed properties:
Spin magnetization = 0.00 μB/cell
Energy of formation = 1.404 eV per atom
Raw total energy = -6.1108 eV/atom

Unit cell a=7.7830 b=7.7830 c=2.5321 alpha=90.00 beta=90.00 gamma=161.41
With the nearest neighbours (Å) after each atom.
Positions (direct):
Cu 0.1279 0.8721 0.7500  4 C 2.05-2.20
Cu 0.8721 0.1279 0.2500  4 C 2.05-2.20
C 0.2547 0.7453 0.2500  4 C 1.79
C 0.4779 0.5221 0.2500  2 C 1.44
C 0.5221 0.4779 0.7500  2 C 1.44
C 0.7453 0.2547 0.7500  4 C 1.79



Entry 8:
Crystalline Cu4C3 at its relaxed geometry, computed with PBE.

Computed properties:
Spin magnetization = 0.00 μB/cell
Energy of formation = 1.476 eV per atom
Raw total energy = -4.8182 eV/atom

Unit cell a=8.5856 b=8.5856 c=8.5856 alpha=160.74 beta=160.74 gamma=27.37
With the nearest neighbours (Å) after each atom.
Positions (direct):
Cu 0.0705 0.0705 0.0000  1 C 2.01
Cu 0.3174 0.3174 0.0000  5 C 2.04-2.11
Cu 0.6826 0.6826 0.0000  5 C 2.04-2.11
Cu 0.9295 0.9295 0.0000  1 C 2.01
C 0.1910 0.1910 0.0000  6 Cu 2.01-2.11
C 0.5000 0.5000 0.0000  8 Cu 2.35
C 0.8090 0.8090 0.0000  6 Cu 2.01-2.11



Entry 9:
Crystalline Cu7C at its relaxed geometry, computed with PBE.

Computed properties:
Spin magnetization = 0.00 μB/cell
Energy of formation = 0.562 eV per atom
Raw total energy = -4.1747 eV/atom

Unit cell a=5.0242 b=5.0242 c=5.0242 alpha=60.00 beta=60.00 gamma=60.00
With the nearest neighbours (Å) after each atom.
Positions (direct):
Cu 0.0000 0.0000 0.0000  12 Cu 2.51
Cu 0.0000 0.0000 0.5000  10 Cu 2.51, 2 C 2.51
Cu 0.0000 0.5000 0.0000  10 Cu 2.51, 2 C 2.51
Cu 0.0000 0.5000 0.5000  10 Cu 2.51, 2 C 2.51
Cu 0.5000 0.0000 0.0000  10 Cu 2.51, 2 C 2.51
Cu 0.5000 0.0000 0.5000  10 Cu 2.51, 2 C 2.51
Cu 0.5000 0.5000 0.0000  10 Cu 2.51, 2 C 2.51
C 0.5000 0.5000 0.5000  12 Cu 2.51



Entry 10:
Crystalline Cu2C at its relaxed geometry, computed with PBE.

Computed properties:
Spin magnetization = 0.00 μB/cell
Energy of formation = 1.971 eV per atom
Raw total energy = -3.8347 eV/atom

Unit cell a=4.6570 b=4.6570 c=4.6570 alpha=60.00 beta=60.00 gamma=60.00
With the nearest neighbours (Å) after each atom.
Positions (direct):
Cu 0.0000 0.0000 0.0000  6 Cu 2.33
Cu 0.0000 0.0000 0.5000  6 Cu 2.33
Cu 0.0000 0.5000 0.0000  6 Cu 2.33
Cu 0.5000 0.0000 0.0000  6 Cu 2.33
C 0.3750 0.3750 0.3750  12 Cu 2.73, 4 C 2.85
C 0.6250 0.6250 0.6250  12 Cu 2.73, 4 C 2.85



Entry 11:
Crystalline Cu5C at its relaxed geometry, computed with PBE.

Computed properties:
Spin magnetization = 0.00 μB/cell
Energy of formation = 1.165 eV per atom
Raw total energy = -3.7855 eV/atom

Unit cell a=4.6220 b=4.6220 c=4.2167 alpha=90.00 beta=90.00 gamma=120.00
With the nearest neighbours (Å) after each atom.
Positions (direct):
Cu 0.0000 0.5000 0.0000  8 Cu 2.31-2.50
Cu 0.3333 0.6667 0.5000  9 Cu 2.50-2.67, 3 C 2.67
Cu 0.5000 0.0000 0.0000  8 Cu 2.31-2.50
Cu 0.5000 0.5000 0.0000  8 Cu 2.31-2.50
Cu 0.6667 0.3333 0.5000  9 Cu 2.50-2.67, 3 C 2.67
C 0.0000 0.0000 0.5000  6 Cu 2.67



Entry 12:
Crystalline CuC2 at its relaxed geometry, computed with PBE.

Computed properties:
Spin magnetization = 0.00 μB/cell
Energy of formation = 0.904 eV per atom
Raw total energy = -6.6108 eV/atom

Unit cell a=3.9606 b=3.9606 c=5.8090 alpha=99.52 beta=99.52 gamma=39.19
With the nearest neighbours (Å) after each atom.
Positions (direct):
Cu 0.0000 0.0000 0.0000  4 C 1.99-2.19
Cu 0.6941 0.6941 0.7690  4 C 2.10-2.25
C 0.2703 0.2703 0.0683  1 C 1.29
C 0.3984 0.3984 0.2489  2 C 1.29-1.44
C 0.4366 0.4366 0.5004  3 C 1.44-1.50
C 0.9312 0.9312 0.6201  2 C 1.50



Number 1: volume 31.1 Å³/f.u.. Number 2: volume 131.8 Å³/f.u.. Number 3: volume 31.2 Å³/f.u.. Number 4: volume 33.9 Å³/f.u.. Number 5: volume 69.8 Å³/f.u.. Number 6: volume 33.6 Å³/f.u.. Number 7: volume 24.5 Å³/f.u.. Number 8: volume 68.9 Å³/f.u.. Number 9: volume 89.7 Å³/f.u.. Number 10: volume 35.7 Å³/f.u.. Number 11: volume 78.0 Å³/f.u.. Number 12: volume 28.3 Å³/f.u..